# 1
Entry from Alexandria via LeMat-Bulk: a relaxed structure of Zr5Co6 (GGA-PBE).

It has space group Immm (No. 71), with a = 4.2797 Å, b = 6.6106 Å, c = 12.8855 Å, α = 90.00°, β = 90.00° and γ = 90.00°. The distinct sites, in fractional coordinates, are Zr at (0.0000, 0.0000, 0.0000), Zr at (0.0000, 0.0000, 0.3640), Zr at (0.0000, 0.5000, 0.3221), Co at (0.0000, 0.2341, 0.1719) and Co at (0.0000, 0.2845, 0.5000).

As for the energy of formation from the pure elements: -0.1103 eV/atom. The density is 7.377 Mg/m³. As for the total magnetic moment: 0.0 μB/cell. For the density of states at the Fermi level, the calculation gives 0.7100 states/eV per atom.



# 2
Entry from Alexandria via LeMat-Bulk: a relaxed structure of Na2AsIrRu (GGA-PBE).

It has space group P4/mmm (No. 123), with a = 5.3603 Å, b = 5.3603 Å, c = 4.5514 Å, α = 90.00°, β = 90.00° and γ = 90.00°. The distinct sites, in fractional coordinates, are Na at (0.0000, 0.5000, 0.0000), As at (0.0000, 0.0000, 0.5000), Ir at (0.0000, 0.0000, 0.0000) and Ru at (0.5000, 0.5000, 0.5000).

As for the energy of formation from the pure elements: 1.0095 eV/atom. The density is 5.259 Mg/m³. As for the total magnetic moment: 2.8 μB/cell. For the density of states at the Fermi level, the calculation gives 0.5602 states/eV per atom.



# 3
Entry from Alexandria via LeMat-Bulk: a relaxed structure of AcLuSn (GGA-PBE).

It has space group I4mm (No. 107), with a = 3.9546 Å, b = 3.9546 Å, c = 12.6178 Å, α = 90.00°, β = 90.00° and γ = 90.00°. The distinct sites, in fractional coordinates, are Ac at (0.0000, 0.0000, 0.0000), Lu at (0.0000, 0.0000, 0.2965) and Sn at (0.0000, 0.0000, 0.6779).

The energy above the lowest structure with this stoichiometry is 0.0 meV per atom. As for the energy of formation from the pure elements: -0.3308 eV/atom. The density is 8.763 Mg/m³. As for the total magnetic moment: 1.8 μB/cell. For the density of states at the Fermi level, the calculation gives 1.4950 states/eV per atom.



# 4
Entry from Alexandria via LeMat-Bulk: a relaxed structure of Y2BeCr (GGA-PBE).

It has space group I-42d (No. 122), with a = 4.2602 Å, b = 4.2602 Å, c = 18.9003 Å, α = 90.00°, β = 90.00° and γ = 90.00°. The distinct sites, in fractional coordinates, are Y at (0.2448, 0.2500, 0.1250), Be at (0.0000, 0.0000, 0.5000) and Cr at (0.0000, 0.0000, 0.0000).

As for the energy of formation from the pure elements: 1.1767 eV/atom. The density is 4.624 Mg/m³. As for the total magnetic moment: 0.0 μB/cell. For the density of states at the Fermi level, the calculation gives 1.3940 states/eV per atom.



# 5
Entry from Alexandria via LeMat-Bulk: a relaxed structure of Ca2NdPd9 (GGA-PBE).

It has space group R-3m (No. 166, hexagonal axes), with a = 5.3966 Å, b = 5.3966 Å, c = 26.9645 Å, α = 90.00°, β = 90.00° and γ = 120.00°. The distinct sites, in fractional coordinates, are Ca at (0.0000, 0.0000, 0.1411), Nd at (0.0000, 0.0000, 0.0000), Pd at (0.0000, 0.0000, 0.3329), Pd at (0.0000, 0.0000, 0.5000) and Pd at (0.0018, 0.5009, 0.9155).

As for the energy of formation from the pure elements: -0.6154 eV/atom. The density is 8.660 Mg/m³. As for the total magnetic moment: 0.0 μB/cell. For the density of states at the Fermi level, the calculation gives 0.6679 states/eV per atom.



# 6
Entry from Alexandria via LeMat-Bulk: a relaxed structure of Li6Mg2Bi (GGA-PBE).

It has space group C2/m (No. 12), with a = 14.6103 Å, b = 8.4323 Å, c = 3.0410 Å, α = 90.00°, β = 90.24° and γ = 90.00°. The distinct sites, in fractional coordinates, are Li at (0.0000, 0.1660, 0.0000), Li at (0.1670, 0.3330, 0.9960), Mg at (0.1667, 0.0000, 0.4995) and Bi at (0.0000, 0.5000, 0.5000).

As for the energy of formation from the pure elements: -0.1360 eV/atom. The density is 2.653 Mg/m³. As for the total magnetic moment: 0.0 μB/cell. For the density of states at the Fermi level, the calculation gives 0.4714 states/eV per atom.



# 7
Entry from Alexandria via LeMat-Bulk: a relaxed structure of Tc2AuCl (GGA-PBE).

It has space group Cmmm (No. 65), with a = 2.8183 Å, b = 4.9953 Å, c = 9.1558 Å, α = 90.00°, β = 90.00° and γ = 90.00°. The distinct sites, in fractional coordinates, are Tc at (0.0000, 0.0000, 0.2324), Au at (0.0000, 0.5000, 0.5000) and Cl at (0.0000, 0.5000, 0.0000).

The energy relative to the elements, uncorrected is 708 meV/atom. The energy above the lowest structure with this stoichiometry is 621.6 meV per atom. The density is 11.038 Mg/m³. As for the total magnetic moment: 2.4 μB/cell. For the density of states at the Fermi level, the calculation gives 1.2828 states/eV per atom.



# 8
Entry from Alexandria via LeMat-Bulk: a relaxed structure of GdB2 (GGA-PBE).

It has space group I4/mmm (No. 139), with a = 2.8536 Å, b = 2.8536 Å, c = 9.2988 Å, α = 90.00°, β = 90.00° and γ = 90.00°. The distinct sites, in fractional coordinates, are Gd at (0.0000, 0.0000, 0.0000) and B at (0.0000, 0.0000, 0.2842).

The energy above the lowest structure with this stoichiometry is 1215.2 meV per atom. As for the energy of formation from the pure elements: 0.7369 eV/atom. The density is 7.845 Mg/m³. As for the total magnetic moment: 13.8 μB/cell. For the density of states at the Fermi level, the calculation gives 0.4977 states/eV per atom.



# 9
Entry from Alexandria via LeMat-Bulk: a relaxed structure of Na2Al2Bi (GGA-PBE).

It has space group P4/mbm (No. 127), with a = 8.6522 Å, b = 8.6522 Å, c = 3.3363 Å, α = 90.00°, β = 90.00° and γ = 90.00°. The distinct sites, in fractional coordinates, are Na at (0.1858, 0.3142, 0.0000), Al at (0.1095, 0.6095, 0.5000) and Bi at (0.0000, 0.0000, 0.5000).

The energy above the lowest structure with this stoichiometry is 0.0 meV per atom. As for the energy of formation from the pure elements: 0.1603 eV/atom. The density is 4.108 Mg/m³. As for the total magnetic moment: 0.0 μB/cell. For the density of states at the Fermi level, the calculation gives 0.3170 states/eV per atom.



# 10
Entry from Alexandria via LeMat-Bulk: a relaxed structure of Rb2GaHg6Au (GGA-PBE).

It has space group P-1 (No. 2), with a = 7.4440 Å, b = 7.4848 Å, c = 8.1031 Å, α = 63.06°, β = 62.86° and γ = 60.32°. The distinct sites, in fractional coordinates, are Rb at (0.2207, 0.2134, 0.3489), Ga at (0.0000, 0.0000, 0.0000), Hg at (0.2432, 0.2592, 0.8055), Hg at (0.2489, 0.6914, 0.8066), Hg at (0.3149, 0.7487, 0.1889) and Au at (0.5000, 0.5000, 0.5000).

As for the energy of formation from the pure elements: -0.1542 eV/atom. The density is 8.167 Mg/m³. As for the total magnetic moment: 0.0 μB/cell. For the density of states at the Fermi level, the calculation gives 0.3067 states/eV per atom.



# 11
Entry from Alexandria via LeMat-Bulk: a relaxed structure of Mg2ScSb (GGA-PBE).

It has space group R-3m (No. 166, hexagonal axes), with a = 3.3422 Å, b = 3.3422 Å, c = 30.4998 Å, α = 90.00°, β = 90.00° and γ = 120.00°. The distinct sites, in fractional coordinates, are Mg at (0.0000, 0.0000, 0.2485), Sc at (0.0000, 0.0000, 0.0000) and Sb at (0.0000, 0.0000, 0.5000).

The energy relative to the elements, uncorrected is -32 meV/atom. The density is 3.636 Mg/m³. As for the total magnetic moment: 1.2 μB/cell. For the density of states at the Fermi level, the calculation gives 0.9109 states/eV per atom.



# 12
Entry from Alexandria via LeMat-Bulk: a relaxed structure of Ag2WAu (GGA-PBE).

It has space group Pmm2 (No. 25), with a = 2.7501 Å, b = 4.2152 Å, c = 5.9773 Å, α = 90.00°, β = 90.00° and γ = 90.00°. The distinct sites, in fractional coordinates, are Ag at (0.0000, 0.0000, 0.0000), Ag at (0.5000, 0.5000, 0.2421), W at (0.5000, 0.5000, 0.7374) and Au at (0.0000, 0.0000, 0.5240).

The energy above the lowest structure with this stoichiometry is 132.5 meV per atom. As for the energy of formation from the pure elements: 0.4596 eV/atom. The density is 14.296 Mg/m³. As for the total magnetic moment: 0.0 μB/cell. For the density of states at the Fermi level, the calculation gives 0.4378 states/eV per atom.



# 13
Entry from Alexandria via LeMat-Bulk: a relaxed structure of SrPdW (GGA-PBE).

It has space group P6_3/mmc (No. 194), with a = 4.2687 Å, b = 4.2687 Å, c = 10.0401 Å, α = 90.00°, β = 90.00° and γ = 120.00°. The distinct sites, in fractional coordinates, are Sr at (0.0000, 0.0000, 0.0000), Pd at (0.3333, 0.6667, 0.2500) and W at (0.3333, 0.6667, 0.7500).

The energy above the lowest structure with this stoichiometry is 500.1 meV per atom. As for the energy of formation from the pure elements: 0.6532 eV/atom. The density is 7.921 Mg/m³. As for the total magnetic moment: 0.0 μB/cell. For the density of states at the Fermi level, the calculation gives 0.5799 states/eV per atom.